Record 1
Computed, not measured: crystalline RbAg2TeI8 at its relaxed geometry at the PBE level of DFT.

Computed properties:
* SG: P-1 (2)
* formation energy from raw total energies: -0.3250 eV per atom
* volume: 42.7 A^3/atom
* final energy: -26.11 eV for the cell shown
* D(E_F): 1.9 states/eV/f.u.

a = 7.6865 Å, b = 6.8212 Å, c = 10.4427 Å
α = 70.46°, β = 88.96°, γ = 95.66°
Last column: nearest neighbours and their distance in Å.
Positions (direct):
1 I 0.8181 0.1811 0.1733  1 Te 2.92
2 I 0.4911 0.2637 0.4733  1 Ag 2.82
3 I 0.1819 0.8189 0.8267  1 Te 2.92
4 I 0.8868 0.3220 0.7479  1 Ag 2.89, 1 Te 3.02
5 I 0.5089 0.7363 0.5267  1 Ag 2.82
6 I 0.1132 0.6780 0.2521  1 Ag 2.89, 1 Te 3.02
7 I 0.3500 0.2468 0.0106  2 Ag 2.88-2.96, 1 Te 3.05
8 I 0.6500 0.7532 0.9894  2 Ag 2.88-2.96, 1 Te 3.05
9 Ag 0.4005 0.4630 0.2041  4 I 2.82-2.96
10 Ag 0.5995 0.5370 0.7959  4 I 2.82-2.96
11 Rb 0.0000 0.0000 0.5000  4 I 3.58-3.98
12 Te 0.0000 0.0000 0.0000  6 I 2.92-3.05


Record 2
Computed, not measured: crystalline PrTm2Th3 at its relaxed geometry at the PBE level of DFT.

Computed properties:
* SG: C2/m (12)
* volume: 32.2 A^3/atom
* final energy: -71.55 eV for the cell shown
* energy relative to the elements: 0.034 eV/atom
* D(E_F): 9.8 states/eV/f.u.

a = 5.0378 Å, b = 7.9997 Å, c = 10.7283 Å
α = 72.67°, β = 76.42°, γ = 71.65°
Last column: nearest neighbours and their distance in Å.
Positions (direct):
1 Th 0.3768 0.6240 0.6223  8 Th 3.52-3.58, 3 Tm 3.52-3.55, 1 Pr 3.57
2 Th 0.9585 0.7064 0.3765  3 Tm 3.53-3.54, 8 Th 3.54-3.58, 1 Pr 3.58
3 Th 0.6232 0.3760 0.3777  8 Th 3.52-3.58, 3 Tm 3.52-3.55, 1 Pr 3.57
4 Th 0.2904 0.0410 0.3781  8 Th 3.52-3.58, 2 Pr 3.56, 2 Tm 3.58
5 Th 0.7096 0.9590 0.6219  8 Th 3.52-3.58, 2 Pr 3.56, 2 Tm 3.58
6 Th 0.0415 0.2936 0.6235  3 Tm 3.53-3.54, 8 Th 3.54-3.58, 1 Pr 3.58
7 Tm 0.7945 0.5408 0.8702  4 Th 3.53-3.58, 5 Tm 3.53-3.65, 3 Pr 3.57-3.62
8 Tm 0.2055 0.4592 0.1298  4 Th 3.53-3.58, 5 Tm 3.53-3.65, 3 Pr 3.57-3.62
9 Tm 0.4581 0.2147 0.8691  4 Th 3.52-3.58, 4 Tm 3.53-3.71, 4 Pr 3.61-3.64
10 Tm 0.5419 0.7853 0.1309  4 Th 3.52-3.58, 4 Tm 3.53-3.71, 4 Pr 3.61-3.64
11 Pr 0.1273 0.8743 0.8712  4 Th 3.56-3.58, 7 Tm 3.57-3.64, 1 Pr 3.65
12 Pr 0.8727 0.1257 0.1288  4 Th 3.56-3.58, 7 Tm 3.57-3.64, 1 Pr 3.65


Record 3
Computed, not measured: crystalline MnCuS2 at its relaxed geometry at the PBE level of DFT.

Computed properties:
* SG: I-42d (122)
* formation energy from raw total energies: -0.2874 eV per atom
* volume: 16.9 A^3/atom
* final energy: -45.34 eV for the cell shown
* D(E_F): 3.0 states/eV/f.u.

a = 5.1170 Å, b = 5.1170 Å, c = 6.2969 Å
α = 66.03°, β = 66.03°, γ = 90.00°
Last column: nearest neighbours and their distance in Å.
Positions (direct):
1 S 0.3750 0.3985 0.7500  2 Mn 2.15, 2 Cu 2.29
2 S 0.1485 0.6250 0.2500  2 Mn 2.15, 2 Cu 2.29
3 S 0.6015 0.1250 0.2500  2 Mn 2.15, 2 Cu 2.29
4 S 0.8750 0.8515 0.7500  2 Mn 2.15, 2 Cu 2.29
5 Cu 0.7500 0.2500 0.5000  4 S 2.29
6 Cu 0.0000 0.0000 0.0000  4 S 2.29
7 Mn 0.2500 0.7500 0.5000  4 S 2.15
8 Mn 0.5000 0.5000 0.0000  4 S 2.15


Record 4
Computed, not measured: crystalline ScTcPt2 at its relaxed geometry at the PBE level of DFT.

Computed properties:
* SG: R-3m (166)
* volume: 16.2 A^3/atom
* ΔE to the lowest computed polymorph: 0.392 eV/atom
* final energy: -29.75 eV for the cell shown
* energy relative to the elements: -0.242 eV/atom
* D(E_F): 6.3 states/eV/f.u.

a = 9.3098 Å, b = 9.3098 Å, c = 9.3098 Å
α = 17.66°, β = 17.66°, γ = 17.66°
Last column: nearest neighbours and their distance in Å.
Positions (direct):
1 Sc 0.2500 0.2500 0.2500  6 Pt 2.86, 6 Sc 2.86
2 Pt 0.0014 0.0014 0.0014  3 Tc 2.79, 3 Sc 2.86, 6 Pt 2.86
3 Pt 0.4986 0.4986 0.4986  3 Tc 2.79, 3 Sc 2.86, 6 Pt 2.86
4 Tc 0.7500 0.7500 0.7500  6 Pt 2.79, 6 Tc 2.86


Record 5
Computed, not measured: crystalline CoWCl at its relaxed geometry at the PBE level of DFT.

Computed properties:
* SG: F-43m (216)
* formation energy from raw total energies: 1.3621 eV per atom
* volume: 16.4 A^3/atom
* ΔE to the lowest computed polymorph: 0.992 eV/atom
* final energy: -17.82 eV for the cell shown
* D(E_F): 3.2 states/eV/f.u.

a = 4.1108 Å, b = 4.1108 Å, c = 4.1108 Å
α = 60.00°, β = 60.00°, γ = 60.00°
Last column: nearest neighbours and their distance in Å.
Positions (direct):
1 Co 0.2500 0.2500 0.2500  4 W 2.52, 4 Cl 2.52
2 Cl 0.5000 0.5000 0.5000  4 Co 2.52
3 W 0.0000 0.0000 0.0000  4 Co 2.52


Record 6
Computed, not measured: crystalline KSbAs2 at its relaxed geometry at the PBE level of DFT.

Computed properties:
* SG: C2/m (12)
* formation energy from raw total energies: 0.1675 eV per atom
* volume: 24.6 A^3/atom
* final energy: -13.85 eV for the cell shown
* D(E_F): 2.2 states/eV/f.u.

a = 5.6953 Å, b = 5.6953 Å, c = 3.1729 Å
α = 90.11°, β = 90.11°, γ = 107.38°
Last column: nearest neighbours and their distance in Å.
Positions (direct):
1 K 0.5000 0.0000 0.5000  2 K 3.17, 8 As 3.26, 2 Sb 3.37
2 As 0.5000 0.5000 0.0000  4 As 3.17-3.37, 4 Sb 3.26, 4 K 3.26
3 As 0.0000 0.0000 0.0000  4 As 3.17-3.37, 4 K 3.26, 4 Sb 3.26
4 Sb 0.0000 0.5000 0.5000  2 Sb 3.17, 8 As 3.26, 2 K 3.37


Record 7
Computed, not measured: crystalline MnAl5 at its relaxed geometry at the PBE level of DFT.

Computed properties:
* SG: Pmma (51)
* volume: 15.6 A^3/atom
* final energy: -56.96 eV for the cell shown
* energy relative to the elements: -0.099 eV/atom
* D(E_F): 2.7 states/eV/f.u.

a = 3.2011 Å, b = 6.9685 Å, c = 8.3764 Å
α = 90.00°, β = 90.00°, γ = 90.00°
Last column: nearest neighbours and their distance in Å.
Positions (direct):
1 Al 0.5000 0.3168 0.5475  2 Mn 2.51, 3 Al 2.67-2.76
2 Al 0.0000 0.0000 0.0000  2 Mn 2.46, 4 Al 2.73
3 Al 0.5000 0.1027 0.2500  2 Mn 2.56, 4 Al 2.73
4 Al 0.0000 0.4507 0.2500  1 Mn 2.55, 4 Al 2.84
5 Al 0.5000 0.8973 0.7500  2 Mn 2.56, 4 Al 2.73
6 Al 0.5000 0.6832 0.4525  2 Mn 2.51, 3 Al 2.67-2.76
7 Al 0.0000 0.5493 0.7500  1 Mn 2.55, 4 Al 2.84
8 Al 0.0000 0.0000 0.5000  2 Mn 2.46, 4 Al 2.73
9 Al 0.5000 0.3168 0.9525  2 Mn 2.51, 3 Al 2.67-2.76
10 Al 0.5000 0.6832 0.0475  2 Mn 2.51, 3 Al 2.67-2.76
11 Mn 0.0000 0.8161 0.2500  9 Al 2.46-2.56
12 Mn 0.0000 0.1839 0.7500  9 Al 2.46-2.56


Record 8
Computed, not measured: crystalline BeSbTe2 at its relaxed geometry at the PBE level of DFT.

Computed properties:
* SG: Cmmm (65)
* formation energy from raw total energies: 0.2104 eV per atom
* volume: 24.8 A^3/atom
* ΔE to the lowest computed polymorph: 0.183 eV/atom
* final energy: -13.29 eV for the cell shown
* D(E_F): 1.0 states/eV/f.u.

a = 3.9145 Å, b = 5.2156 Å, c = 5.2144 Å
α = 68.72°, β = 90.00°, γ = 90.00°
Last column: nearest neighbours and their distance in Å.
Positions (direct):
1 Sb 0.5000 0.7500 0.7500  2 Be 2.94, 4 Te 3.17
2 Te 0.0000 0.4610 0.4610  2 Be 2.67
3 Te 0.0000 0.0390 0.0390  2 Be 2.67
4 Be 0.5000 0.2500 0.2500  4 Te 2.67, 2 Sb 2.94


Record 9
Computed, not measured: crystalline CaNb2TcRh at its relaxed geometry at the PBE level of DFT.

Computed properties:
* SG: P4/mmm (123)
* volume: 19.7 A^3/atom
* final energy: -28.88 eV for the cell shown
* energy relative to the elements: 2.196 eV/atom
* D(E_F): 5.4 states/eV/f.u.

a = 4.6848 Å, b = 4.4830 Å, c = 4.6848 Å
α = 90.00°, β = 90.00°, γ = 90.00°
Last column: nearest neighbours and their distance in Å.
Positions (direct):
1 Nb 0.5000 0.0000 0.0000  2 Ca 2.34
2 Nb 0.0000 0.0000 0.5000  2 Ca 2.34
3 Tc 0.5000 0.5000 0.5000  8 Nb 3.24, 4 Rh 3.31
4 Ca 0.0000 0.0000 0.0000  2 Rh 2.24, 4 Nb 2.34
5 Rh 0.0000 0.5000 0.0000  2 Ca 2.24


Record 10
Computed, not measured: crystalline SmTmCo2 at its relaxed geometry at the PBE level of DFT.

Computed properties:
* SG: P4/mmm (123)
* volume: 18.9 A^3/atom
* ΔE to the lowest computed polymorph: 0.070 eV/atom
* final energy: -23.83 eV for the cell shown
* energy relative to the elements: -0.107 eV/atom
* D(E_F): 3.1 states/eV/f.u.

a = 3.3585 Å, b = 3.3585 Å, c = 6.7145 Å
α = 90.00°, β = 90.00°, γ = 90.00°
Last column: nearest neighbours and their distance in Å.
Positions (direct):
1 Tm 0.5000 0.5000 0.0000  8 Co 2.86
2 Sm 0.5000 0.5000 0.5000  8 Co 2.95
3 Co 0.0000 0.0000 0.7615  4 Tm 2.86, 4 Sm 2.95, 1 Co 3.20
4 Co 0.0000 0.0000 0.2385  4 Tm 2.86, 4 Sm 2.95, 1 Co 3.20


Record 11
Computed, not measured: crystalline Ba3Tl5Pd6 at its relaxed geometry at the PBE level of DFT.

Computed properties:
* SG: Immm (71)
* volume: 25.5 A^3/atom
* final energy: -54.86 eV for the cell shown
* energy relative to the elements: -0.436 eV/atom
* D(E_F): 7.2 states/eV/f.u.

a = 4.7938 Å, b = 9.1220 Å, c = 9.1220 Å
α = 70.84°, β = 74.77°, γ = 74.77°
Last column: nearest neighbours and their distance in Å.
Positions (direct):
1 Ba 0.3139 0.6861 0.6861  6 Pd 3.34-3.52, 8 Tl 3.54-3.55
2 Ba 0.0000 0.0000 0.0000  4 Pd 3.32
3 Ba 0.6861 0.3139 0.3139  6 Pd 3.34-3.52, 8 Tl 3.54-3.55
4 Tl 0.6764 0.9888 0.6584  4 Pd 2.84-3.07
5 Tl 0.3236 0.3416 0.0112  4 Pd 2.84-3.07
6 Tl 0.6764 0.6584 0.9888  4 Pd 2.84-3.07
7 Tl 0.0000 0.5000 0.5000  4 Pd 2.81
8 Tl 0.3236 0.0112 0.3416  4 Pd 2.84-3.07
9 Pd 0.1098 0.1683 0.6122  4 Tl 2.81-3.07, 3 Pd 2.87-3.09
10 Pd 0.1098 0.6122 0.1683  4 Tl 2.81-3.07, 3 Pd 2.87-3.09
11 Pd 0.8902 0.8317 0.3878  4 Tl 2.81-3.07, 3 Pd 2.87-3.09
12 Pd 0.5000 0.6954 0.3046  4 Pd 2.87, 4 Tl 2.89-3.16
13 Pd 0.5000 0.3046 0.6954  4 Pd 2.87, 4 Tl 2.89-3.16
14 Pd 0.8902 0.3878 0.8317  4 Tl 2.81-3.07, 3 Pd 2.87-3.09


Record 12
Computed, not measured: crystalline NaCdCuSe2 at its relaxed geometry at the PBE level of DFT.

Computed properties:
* SG: Pnma (62)
* formation energy from raw total energies: -0.4498 eV per atom
* volume: 29.7 A^3/atom
* ΔE to the lowest computed polymorph: 0.133 eV/atom
* final energy: -62.19 eV for the cell shown

a = 4.3216 Å, b = 7.6448 Å, c = 18.0028 Å
α = 90.00°, β = 90.00°, γ = 90.00°
Last column: nearest neighbours and their distance in Å.
Positions (direct):
1 Cu 0.2500 0.7593 0.0787  2 Se 2.29
2 Cu 0.2500 0.2593 0.4213  2 Se 2.29
3 Cu 0.7500 0.2407 0.9213  2 Se 2.29
4 Cu 0.7500 0.7407 0.5787  2 Se 2.29
5 Se 0.2500 0.1581 0.6731  2 Cd 2.56-2.58
6 Se 0.7500 0.8419 0.3269  2 Cd 2.56-2.58
7 Se 0.7500 0.8562 0.0745  2 Cu 2.29
8 Se 0.2500 0.6581 0.8269  2 Cd 2.56-2.58
9 Se 0.7500 0.3419 0.1731  2 Cd 2.56-2.58
10 Se 0.2500 0.1438 0.9255  2 Cu 2.29
11 Se 0.7500 0.3562 0.4255  2 Cu 2.29
12 Se 0.2500 0.6438 0.5745  2 Cu 2.29
13 Na 0.7500 0.8109 0.9096  3 Se 2.87-2.99
14 Na 0.7500 0.3109 0.5904  3 Se 2.87-2.99
15 Na 0.2500 0.6891 0.4096  3 Se 2.87-2.99
16 Na 0.2500 0.1891 0.0904  3 Se 2.87-2.99
17 Cd 0.7500 0.1711 0.2956  3 Se 2.56-2.73
18 Cd 0.2500 0.3289 0.7956  3 Se 2.56-2.73
19 Cd 0.7500 0.6711 0.2044  3 Se 2.56-2.73
20 Cd 0.2500 0.8289 0.7044  3 Se 2.56-2.73